Record 1
A plane-wave DFT calculation with PBE-GGA was carried out for a geometry-optimized SrSbTe2Pb structure.

Lattice parameters (Å, degrees): 6.061 6.061 5.969 90.00 90.00 90.00
Atoms (fractional coordinates):
Pb  0.500  0.500  0.500
Sb  0.000  0.000  0.500
Te  0.000  0.500  0.000
Te  0.500  0.000  0.000
Sr  0.000  0.000  0.000

Output
Energy above the lowest structure with this stoichiometry: 344 meV per atom
Energy relative to the elements, uncorrected: 0.2697 eV per atom
Symmetry: No. 123

---

Record 2
A plane-wave DFT calculation with PBE-GGA was carried out for a geometry-optimized CdFe4As structure.

Lattice parameters (Å, degrees): 4.946 4.946 4.946 60.00 60.00 60.00
Atoms (fractional coordinates):
Cd  0.000  0.000  0.000
Fe  0.625  0.625  0.124
Fe  0.625  0.124  0.625
Fe  0.625  0.625  0.625
Fe  0.124  0.625  0.625
As  0.250  0.250  0.250

Output
Symmetry: No. 216
ΔH_f (0 K): 28 kJ per mole of atoms

---

Record 3
A plane-wave DFT calculation with PBE-GGA was carried out for a geometry-optimized YSc2Zn structure.

Lattice parameters (Å, degrees): 6.154 6.154 4.932 66.39 66.39 33.79
Atoms (fractional coordinates):
Y  0.531  0.531  0.469
Sc  0.961  0.961  0.039
Sc  0.749  0.749  0.751
Zn  0.259  0.259  0.241

Output
Symmetry: No. 44
ΔH_f (0 K): -12 kJ per mole of atoms

---

Values for calculated density, g/cm³, ordered as above
5.09 7.97 4.30